{"formula": "FeIO2F", "functional": "GGA+U", "state": "optimized geometry", "final_energy_ev_per_fu": -15.454, "density_g_cm3": 4.7, "lattice": [[4.464, 0.000, 0.000], [0.000, 4.464, 0.000], [0.000, 0.000, 4.132]], "species": ["Fe", "I", "O", "O", "F"], "fractional_positions": [[0.000, 0.000, 0.000], [0.500, 0.500, 0.000], [0.000, 0.500, 0.500], [0.500, 0.000, 0.500], [0.500, 0.500, 0.500]]}